[1]
Material: GdNiMo
Method: DFT, PBE
State: optimized geometry

POSCAR file:
```
GdNiMo
1.0
0.000 3.111 3.111
3.111 0.000 3.111
3.111 3.111 0.000
Gd Ni Mo
1 1 1
Direct
0.000 0.000 0.000
0.250 0.250 0.250
0.500 0.500 0.500
```

Properties
Symmetry: F-43m, No. 216

***

[2]
Material: TbEr
Method: DFT, PBE
State: optimized geometry

POSCAR file:
```
TbEr
1.0
3.600 0.000 0.000
-1.800 3.118 0.000
0.000 0.000 5.607
Tb Er
1 1
Direct
0.000 0.000 0.000
0.333 0.667 0.500
```

Properties
Symmetry: P-6m2, No. 187

***

[3]
Material: MgNbB4
Method: DFT, PBE
State: optimized geometry

POSCAR file:
```
MgNbB4
1.0
3.051 0.000 0.000
-1.525 2.642 0.000
0.000 0.000 7.044
Mg Nb B
1 1 4
Direct
0.000 0.000 0.000
0.000 0.000 0.500
0.333 0.667 0.255
0.333 0.667 0.745
0.667 0.333 0.255
0.667 0.333 0.745
```

Properties
Symmetry: P6/mmm, No. 191

***

[4]
Material: ErGa3O
Method: DFT, PBE
State: optimized geometry

POSCAR file:
```
ErGa3O
1.0
4.450 0.000 0.000
0.000 4.450 0.000
0.000 0.000 4.450
Er Ga O
1 3 1
Direct
0.000 0.000 0.000
0.000 0.500 0.500
0.500 0.000 0.500
0.500 0.500 0.000
0.500 0.500 0.500
```

Properties
Symmetry: Pm-3m, No. 221

***

[5]
Material: Lu4Zr2Cd3N3
Method: DFT, PBE
State: optimized geometry

POSCAR file:
```
Lu4Zr2Cd3N3
1.0
5.041 -2.913 0.000
5.041 2.913 0.000
-3.369 0.000 15.309
Lu Zr Cd N
8 4 6 6
Direct
0.032 0.193 0.086
0.134 0.305 0.414
0.193 0.032 0.586
0.305 0.134 0.914
0.695 0.866 0.086
0.807 0.968 0.414
0.866 0.695 0.586
0.968 0.807 0.914
0.357 0.526 0.077
0.474 0.643 0.423
0.526 0.357 0.577
0.643 0.474 0.923
0.110 0.890 0.250
0.281 0.414 0.750
0.414 0.281 0.250
0.586 0.719 0.750
0.719 0.586 0.250
0.890 0.110 0.750
0.000 0.500 0.000
0.167 0.667 0.500
0.333 0.833 0.000
0.500 0.000 0.500
0.667 0.167 0.000
0.833 0.333 0.500
```

Properties
Symmetry: C2/c, No. 15

***

[6]
Material: NdMg2Al3Sn2Pt
Method: DFT, PBE
State: optimized geometry

POSCAR file:
```
NdMg2Al3Sn2Pt
1.0
4.265 0.000 0.000
0.000 6.357 3.516
0.000 -6.357 3.516
Nd Mg Al Sn Pt
1 2 3 2 1
Direct
0.000 0.000 0.000
0.000 0.423 0.803
0.000 0.803 0.423
0.500 0.205 0.421
0.500 0.421 0.205
0.500 0.657 0.657
0.500 0.110 0.748
0.500 0.748 0.110
0.000 0.442 0.442
```

Properties
Symmetry: Amm2, No. 38

***

no.,calculated total energy (eV/atom)
1,-6.47
2,-4.59
3,-6.85
4,-4.16
5,-6.20
6,-4.22